## LaTaAg (meta-GGA SCAN)

Data for LaTaAg at its PBEsol-relaxed geometry.

Output
Magnetic moment   0.0 μB/cell
Crystal system   hexagonal
E   -46.45 eV per atom
SG   No. 187

a = 5.004 Å, b = 5.004 Å, c = 2.992 Å
α = 90.00°, β = 90.00°, γ = 120.00°
Element x y z (fractional)
La: 0.000 0.000 0.000
Ta: 0.667 0.333 0.500
Ag: 0.333 0.667 0.500

---

## LaTc2Ag (meta-GGA SCAN)

Data for LaTc2Ag at its PBEsol-relaxed geometry.

Output
Magnetic moment   0.0 μB/cell
Crystal system   orthorhombic
SG   No. 47
E above lowest polymorph   1.98 eV per formula unit

a = 3.308 Å, b = 4.631 Å, c = 4.771 Å
α = 90.00°, β = 90.00°, γ = 90.00°
Element x y z (fractional)
La: 0.000 0.000 0.000
Tc: 0.000 0.500 0.500
Tc: 0.500 0.000 0.500
Ag: 0.500 0.500 0.000

---

## La2TcAg (meta-GGA SCAN)

Data for La2TcAg at its PBEsol-relaxed geometry.

Output
Magnetic moment   0.0 μB/cell
Crystal system   tetragonal
E   -37.94 eV per atom
SG   No. 119

a = 5.508 Å, b = 5.508 Å, c = 5.508 Å
α = 132.71°, β = 132.71°, γ = 69.10°
Element x y z (fractional)
La: 0.000 0.000 0.000
La: 0.750 0.250 0.500
Tc: 0.500 0.500 0.000
Ag: 0.250 0.750 0.500

---

## La2TcAg (meta-GGA SCAN)

Data for La2TcAg at its PBEsol-relaxed geometry.

Output
Magnetic moment   0.0 μB/cell
Crystal system   monoclinic
E   -38.24 eV per atom
SG   No. 10

a = 3.512 Å, b = 3.512 Å, c = 7.732 Å
α = 90.00°, β = 90.10°, γ = 90.00°
Element x y z (fractional)
La: 0.001 0.000 0.278
La: 0.999 0.000 0.722
Tc: 0.500 0.500 0.500
Ag: 0.500 0.500 0.000

---

## LaTc2Ag (meta-GGA SCAN)

Data for LaTc2Ag at its PBEsol-relaxed geometry.

Output
Magnetic moment   0.0 μB/cell
Crystal system   monoclinic
SG   No. 12
E above lowest polymorph   0.85 eV per formula unit

a = 5.047 Å, b = 5.047 Å, c = 5.209 Å
α = 108.85°, β = 108.85°, γ = 44.55°
Element x y z (fractional)
La: 0.000 0.000 0.000
Tc: 0.230 0.230 0.610
Tc: 0.770 0.770 0.390
Ag: 0.500 0.500 0.500

---

## LaTc2Ag (meta-GGA SCAN)

Data for LaTc2Ag at its PBEsol-relaxed geometry.

Output
Magnetic moment   0.0 μB/cell
Crystal system   trigonal
SG   No. 160
E above lowest polymorph   0.00 eV per formula unit

a = 5.977 Å, b = 5.977 Å, c = 5.977 Å
α = 41.47°, β = 41.47°, γ = 41.47°
Element x y z (fractional)
La: 0.000 0.000 0.000
Tc: 0.475 0.475 0.475
Tc: 0.796 0.796 0.796
Ag: 0.216 0.216 0.216

---

## LaAg2Te (meta-GGA SCAN)

Data for LaAg2Te at its PBEsol-relaxed geometry.

Output
Magnetic moment   0.0 μB/cell
Crystal system   cubic
E   -36.21 eV per atom
SG   No. 216

a = 5.143 Å, b = 5.143 Å, c = 5.143 Å
α = 60.00°, β = 60.00°, γ = 60.00°
Element x y z (fractional)
La: 0.000 0.000 0.000
Ag: 0.500 0.500 0.500
Ag: 0.750 0.750 0.750
Te: 0.250 0.250 0.250

---

## LaAg2Te (meta-GGA SCAN)

Data for LaAg2Te at its PBEsol-relaxed geometry.

Output
Magnetic moment   0.0 μB/cell
Crystal system   orthorhombic
E   -36.29 eV per atom
SG   No. 47

a = 4.393 Å, b = 4.414 Å, c = 4.958 Å
α = 90.00°, β = 90.00°, γ = 90.00°
Element x y z (fractional)
La: 0.000 0.000 0.000
Ag: 0.000 0.500 0.500
Ag: 0.500 0.000 0.500
Te: 0.500 0.500 0.000

---

## LaTlAg2 (meta-GGA SCAN)

Data for LaTlAg2 at its PBEsol-relaxed geometry.

Output
Magnetic moment   0.0 μB/cell
Crystal system   cubic
SG   No. 216
E above lowest polymorph   0.17 eV per formula unit

a = 5.060 Å, b = 5.060 Å, c = 5.060 Å
α = 60.00°, β = 60.00°, γ = 60.00°
Element x y z (fractional)
La: 0.000 0.000 0.000
Tl: 0.750 0.750 0.750
Ag: 0.250 0.250 0.250
Ag: 0.500 0.500 0.500

---

## La3TlAg (meta-GGA SCAN)

Data for La3TlAg at its PBEsol-relaxed geometry.

Output
Magnetic moment   0.0 μB/cell
Crystal system   cubic
E   -46.57 eV per atom
SG   No. 221

a = 5.682 Å, b = 5.682 Å, c = 5.682 Å
α = 90.00°, β = 90.00°, γ = 90.00°
Element x y z (fractional)
La: 0.000 0.000 0.500
La: 0.000 0.500 0.000
La: 0.500 0.000 0.000
Tl: 0.500 0.500 0.500
Ag: 0.000 0.000 0.000

---

## LaTlAg (meta-GGA SCAN)

Data for LaTlAg at its PBEsol-relaxed geometry.

Output
Magnetic moment   0.2 μB/cell
Crystal system   hexagonal
E   -49.43 eV per atom
SG   No. 187

a = 4.962 Å, b = 4.962 Å, c = 3.523 Å
α = 90.00°, β = 90.00°, γ = 120.00°
Element x y z (fractional)
La: 0.000 0.000 0.000
Tl: 0.667 0.333 0.500
Ag: 0.333 0.667 0.500

---

## LaTlAg2 (meta-GGA SCAN)

Data for LaTlAg2 at its PBEsol-relaxed geometry.

Output
Magnetic moment   0.0 μB/cell
Crystal system   cubic
SG   No. 225
E above lowest polymorph   0.00 eV per formula unit

a = 5.043 Å, b = 5.043 Å, c = 5.043 Å
α = 60.00°, β = 60.00°, γ = 60.00°
Element x y z (fractional)
La: 0.000 0.000 0.000
Tl: 0.500 0.500 0.500
Ag: 0.250 0.250 0.250
Ag: 0.750 0.750 0.750